Density functional theory data (meta-GGA SCAN) for YFe2W at its PBEsol-relaxed geometry.

```
YFe2W
1.0
3.014 0.000 0.000
0.000 3.013 0.000
0.000 0.000 6.924
W Y Fe
1 1 2
Direct
0.000 0.000 0.436 W
0.500 0.500 0.762 Y
0.500 0.500 0.241 Fe
0.000 0.000 0.060 Fe
```

Computed properties:
Raw total energy (Ha/atom): -1.2174
Formation energy from the elements (meV per atom): 320
Crystal system: tetragonal
Mass density (Mg/m³): 10.152

***

Density functional theory data (meta-GGA SCAN) for TaHg2 at its PBEsol-relaxed geometry.

```
TaHg2
1.0
2.983 0.000 0.000
0.000 4.923 0.000
-1.492 0.000 7.894
Hg Ta
4 2
Direct
0.787 0.750 0.574 Hg
0.213 0.250 0.426 Hg
0.107 0.750 0.215 Hg
0.893 0.250 0.785 Hg
0.550 0.250 0.100 Ta
0.450 0.750 0.900 Ta
```

Computed properties:
Raw total energy (Ha/atom): -2.4734
Formation energy from the elements (meV per atom): 335
Crystal system: orthorhombic
Mass density (Mg/m³): 16.674

***

Density functional theory data (meta-GGA SCAN) for Zr2CdCl at its PBEsol-relaxed geometry.

```
Zr2CdCl
1.0
-2.100 2.030 0.763
-0.079 -2.030 5.184
4.619 3.162 -1.670
Zr Cd Cl
2 1 1
Direct
0.720 0.721 0.440 Zr
0.280 0.279 0.560 Zr
0.500 0.000 0.000 Cd
0.000 0.500 0.000 Cl
```

Computed properties:
Raw total energy (Ha/atom): -0.9295
Crystal system: monoclinic
Mass density (Mg/m³): 6.640

***

Density functional theory data (meta-GGA SCAN) for BaLi2Ag at its PBEsol-relaxed geometry.

```
BaLi2Ag
1.0
4.194 0.000 0.000
-2.097 4.518 0.032
0.000 -1.713 5.632
Li Ba Ag
2 1 1
Direct
0.300 0.601 0.399 Li
0.700 0.399 0.601 Li
0.500 0.000 0.000 Ba
0.000 0.000 0.500 Ag
```

Computed properties:
Raw total energy (Ha/atom): -0.6990
Formation energy from the elements (meV per atom): -96
Crystal system: monoclinic
Mass density (Mg/m³): 4.022

***

Density functional theory data (meta-GGA SCAN) for LaSnRh at its PBEsol-relaxed geometry.

```
LaSnRh
1.0
4.199 0.000 0.000
0.000 7.409 0.000
0.000 -3.705 6.416
La Sn Rh
3 3 3
Direct
0.000 0.583 0.000 La
0.000 0.000 0.583 La
0.000 0.417 0.417 La
0.500 0.754 0.754 Sn
0.500 0.000 0.246 Sn
0.500 0.246 0.000 Sn
0.000 0.000 0.000 Rh
0.500 0.667 0.333 Rh
0.500 0.333 0.667 Rh
```

Computed properties:
Raw total energy (Ha/atom): -1.4183
Formation energy from the elements (meV per atom): -995
Crystal system: hexagonal
Mass density (Mg/m³): 8.996

***

Density functional theory data (meta-GGA SCAN) for MgSiBr2 at its PBEsol-relaxed geometry.

```
MgSiBr2
1.0
-4.269 -2.158 1.295
-2.675 -2.433 -3.389
-0.324 -4.942 0.180
Mg Br Si
1 2 1
Direct
0.000 0.000 0.000 Mg
0.250 0.250 0.250 Br
0.750 0.750 0.750 Br
0.500 0.500 0.500 Si
```

Computed properties:
Raw total energy (Ha/atom): -0.4888
Crystal system: cubic
Mass density (Mg/m³): 4.094

***

Density functional theory data (meta-GGA SCAN) for Mg2AsH at its PBEsol-relaxed geometry.

```
Mg2AsH
1.0
4.438 0.000 0.000
2.219 3.843 0.000
2.219 1.281 3.623
Mg As H
2 1 1
Direct
0.250 0.250 0.250 Mg
0.750 0.750 0.750 Mg
0.500 0.500 0.500 As
0.000 0.000 0.000 H
```

Computed properties:
Raw total energy (Ha/atom): -0.3176
Crystal system: cubic
Mass density (Mg/m³): 3.347

***

Density functional theory data (meta-GGA SCAN) for NbCd2O at its PBEsol-relaxed geometry.

```
NbCd2O
1.0
-1.737 -1.676 -3.899
0.038 -4.520 -0.771
-3.924 -2.371 0.071
Cd O Nb
2 1 1
Direct
0.750 0.750 0.750 Cd
0.250 0.250 0.250 Cd
0.000 0.000 0.000 O
0.500 0.500 0.500 Nb
```

Computed properties:
Raw total energy (Ha/atom): -0.8960
Crystal system: cubic
Mass density (Mg/m³): 8.128

***

Density functional theory data (meta-GGA SCAN) for YSiTc at its PBEsol-relaxed geometry.

```
YSiTc
1.0
4.500 0.000 0.000
2.250 3.897 0.000
2.250 1.299 3.674
Si Tc Y
1 1 1
Direct
0.000 0.000 0.000 Si
0.500 0.500 0.500 Tc
0.250 0.250 0.250 Y
```

Computed properties:
Raw total energy (Ha/atom): -0.8536
Crystal system: cubic
Mass density (Mg/m³): 5.540

***

Density functional theory data (meta-GGA SCAN) for TlP5 at its PBEsol-relaxed geometry.

```
TlP5
1.0
6.414 0.000 0.000
0.000 6.818 0.000
0.000 0.000 11.981
P Tl
20 4
Direct
0.747 0.598 0.265 P
0.500 0.353 0.040 P
0.500 0.647 0.540 P
0.750 0.204 0.613 P
0.253 0.402 0.765 P
0.000 0.837 0.857 P
0.500 0.333 0.510 P
0.000 0.613 0.726 P
0.000 0.163 0.357 P
0.500 0.388 0.218 P
0.253 0.598 0.265 P
0.000 0.342 0.509 P
0.750 0.796 0.113 P
0.250 0.796 0.113 P
0.747 0.402 0.765 P
0.500 0.612 0.718 P
0.500 0.667 0.010 P
0.250 0.204 0.613 P
0.000 0.387 0.226 P
0.000 0.658 0.009 P
0.000 0.776 0.498 Tl
0.500 0.013 0.339 Tl
0.000 0.224 0.998 Tl
0.500 0.987 0.839 Tl
```

Computed properties:
Raw total energy (Ha/atom): -0.7628
Formation energy from the elements (meV per atom): -32
Crystal system: orthorhombic
Mass density (Mg/m³): 4.554

***

Density functional theory data (meta-GGA SCAN) for LiAlZn at its PBEsol-relaxed geometry.

```
LiAlZn
1.0
-2.544 -1.040 0.147
0.924 -2.381 -1.026
1.942 -0.266 6.046
Zn Al Li
1 1 1
Direct
0.334 0.334 0.667 Zn
0.995 0.995 0.990 Al
0.671 0.671 0.343 Li
```

Computed properties:
Raw total energy (Ha/atom): -0.2946
Formation energy from the elements (meV per atom): -130
Crystal system: orthorhombic
Mass density (Mg/m³): 3.598

***

Density functional theory data (meta-GGA SCAN) for MgTaOs at its PBEsol-relaxed geometry.

```
MgTaOs
1.0
4.227 0.000 0.000
2.113 3.660 0.000
2.113 1.220 3.451
Ta Mg Os
1 1 1
Direct
0.500 0.500 0.500 Ta
0.250 0.250 0.250 Mg
0.000 0.000 0.000 Os
```

Computed properties:
Raw total energy (Ha/atom): -1.7117
Formation energy from the elements (meV per atom): 1234
Crystal system: cubic
Mass density (Mg/m³): 12.300

***

Density functional theory data (meta-GGA SCAN) for BeCrRh2 at its PBEsol-relaxed geometry.

```
BeCrRh2
1.0
3.475 0.000 0.000
0.000 3.475 0.000
-1.737 -1.737 3.940
Be Rh Cr
1 2 1
Direct
0.500 0.500 0.000 Be
0.750 0.250 0.500 Rh
0.000 0.000 0.000 Rh
0.250 0.750 0.500 Cr
```

Computed properties:
Raw total energy (Ha/atom): -0.8400
Formation energy from the elements (meV per atom): -287
Crystal system: tetragonal
Mass density (Mg/m³): 9.312

***

Density functional theory data (meta-GGA SCAN) for ZnSn3Ge at its PBEsol-relaxed geometry.

```
ZnSn3Ge
1.0
5.098 0.000 0.000
0.000 5.098 0.000
0.000 0.000 5.098
Zn Ge Sn
1 1 3
Direct
0.000 0.000 0.000 Zn
0.500 0.500 0.500 Ge
0.000 0.500 0.000 Sn
0.000 0.000 0.500 Sn
0.500 0.000 0.000 Sn
```

Computed properties:
Raw total energy (Ha/atom): -1.0092
Formation energy from the elements (meV per atom): 612
Crystal system: cubic
Mass density (Mg/m³): 6.194

***

Density functional theory data (meta-GGA SCAN) for AlZnP3 at its PBEsol-relaxed geometry.

```
AlZnP3
1.0
4.581 0.000 0.000
0.000 4.581 0.000
0.000 0.000 4.581
P Al Zn
3 1 1
Direct
0.000 0.500 0.000 P
0.000 0.000 0.500 P
0.500 0.000 0.000 P
0.000 0.000 0.000 Al
0.500 0.500 0.500 Zn
```

Computed properties:
Raw total energy (Ha/atom): -0.3540
Formation energy from the elements (meV per atom): 860
Crystal system: cubic
Mass density (Mg/m³): 3.202

***

Density functional theory data (meta-GGA SCAN) for ReNiB2 at its PBEsol-relaxed geometry.

```
ReNiB2
1.0
5.479 0.000 0.000
0.000 5.479 0.000
-2.739 -2.739 2.611
Ni Re B
2 2 4
Direct
0.500 0.500 0.000 Ni
0.750 0.250 0.500 Ni
0.000 0.000 0.000 Re
0.250 0.750 0.500 Re
0.847 0.375 0.250 B
0.625 0.597 0.750 B
0.403 0.875 0.250 B
0.125 0.153 0.750 B
```

Computed properties:
Raw total energy (Ha/atom): -0.9252
Formation energy from the elements (meV per atom): 355
Crystal system: tetragonal
Mass density (Mg/m³): 11.295

***

Density functional theory data (meta-GGA SCAN) for Sc4C at its PBEsol-relaxed geometry.

```
Sc4C
1.0
3.244 0.000 0.000
-1.622 2.810 0.000
0.000 0.000 11.219
C Sc
1 4
Direct
0.000 0.000 0.000 C
0.333 0.667 0.612 Sc
0.667 0.333 0.388 Sc
0.667 0.333 0.110 Sc
0.333 0.667 0.890 Sc
```

Computed properties:
Raw total energy (Ha/atom): -0.5028
Formation energy from the elements (meV per atom): -271
Crystal system: trigonal
Mass density (Mg/m³): 3.115

***

Density functional theory data (meta-GGA SCAN) for ScCd2Cu at its PBEsol-relaxed geometry.

```
ScCd2Cu
1.0
-1.585 0.608 -2.624
0.705 -2.845 -1.085
-6.233 -2.738 3.131
Cd Sc Cu
2 1 1
Direct
0.500 0.500 0.283 Cd
0.000 0.000 0.003 Cd
0.500 0.500 0.715 Sc
0.000 0.000 0.499 Cu
```

Computed properties:
Raw total energy (Ha/atom): -0.8367
Formation energy from the elements (meV per atom): -201
Crystal system: tetragonal
Mass density (Mg/m³): 7.561

***

Density functional theory data (meta-GGA SCAN) for LiZr2Pt2 at its PBEsol-relaxed geometry.

```
LiZr2Pt2
1.0
3.264 0.000 0.000
0.000 7.577 0.000
0.000 0.000 7.577
Pt Li Zr
4 2 4
Direct
0.000 0.865 0.635 Pt
0.000 0.365 0.865 Pt
0.000 0.135 0.365 Pt
0.000 0.635 0.135 Pt
0.000 0.500 0.500 Li
0.000 0.000 0.000 Li
0.500 0.664 0.836 Zr
0.500 0.836 0.336 Zr
0.500 0.164 0.664 Zr
0.500 0.336 0.164 Zr
```

Computed properties:
Raw total energy (Ha/atom): -1.5388
Formation energy from the elements (meV per atom): -1037
Crystal system: tetragonal
Mass density (Mg/m³): 10.272

***

Density functional theory data (meta-GGA SCAN) for Ta2TcSe at its PBEsol-relaxed geometry.

```
Ta2TcSe
1.0
3.210 0.000 0.000
0.000 4.254 0.000
0.000 0.000 4.716
Se Tc Ta
1 1 2
Direct
0.000 0.500 0.500 Se
0.500 0.500 0.000 Tc
0.000 0.000 0.000 Ta
0.500 0.000 0.500 Ta
```

Computed properties:
Raw total energy (Ha/atom): -1.7292
Crystal system: orthorhombic
Mass density (Mg/m³): 13.893